# 1
# CdCoGeSe3, relaxed, DFT GGA-PBE
# polymorph energy (0 for the lowest one) = 0.0 meV per atom
# magnetization = 3.52 μB per cell
data_CdCoGeSe3
_chemical_formula_sum 'Cd2 Co2 Ge2 Se6'
_cell_length_a 6.6027
_cell_length_b 6.6027
_cell_length_c 11.3055
_cell_angle_alpha 90.00
_cell_angle_beta 90.00
_cell_angle_gamma 33.12
_symmetry_space_group_name_H-M 'P 1'
_symmetry_Int_Tables_number 1
loop_
_symmetry_equiv_pos_as_xyz
'x,y,z'
loop_
_atom_site_label
_atom_site_type_symbol
_atom_site_fract_x
_atom_site_fract_y
_atom_site_fract_z
Se1 Se 0.3520 0.3520 0.0787
Se2 Se 0.6480 0.6480 0.9213
Ge1 Ge 0.7990 0.7990 0.2500
Co1 Co 0.4625 0.4625 0.2500
Cd1 Cd 0.0000 0.0000 0.5000
Se3 Se 0.6480 0.6480 0.5787
Se4 Se 0.9257 0.9257 0.7500
Se5 Se 0.3520 0.3520 0.4213
Se6 Se 0.0743 0.0743 0.2500
Ge2 Ge 0.2010 0.2010 0.7500
Cd2 Cd 0.0000 0.0000 0.0000
Co2 Co 0.5375 0.5375 0.7500


# 2
# Nd2Zr, relaxed, DFT GGA-PBE
# polymorph energy (0 for the lowest one) = 1421.5 meV per atom
# formation energy = 2.018 eV/atom
# magnetization = 0.01 μB per cell
data_Nd2Zr
_chemical_formula_sum 'Nd4 Zr2'
_cell_length_a 8.7931
_cell_length_b 8.7931
_cell_length_c 8.7931
_cell_angle_alpha 60.00
_cell_angle_beta 60.00
_cell_angle_gamma 60.00
_symmetry_space_group_name_H-M 'P 1'
_symmetry_Int_Tables_number 1
loop_
_symmetry_equiv_pos_as_xyz
'x,y,z'
loop_
_atom_site_label
_atom_site_type_symbol
_atom_site_fract_x
_atom_site_fract_y
_atom_site_fract_z
Nd1 Nd 0.3750 0.8750 0.3750
Zr1 Zr 0.5000 0.5000 0.5000
Nd2 Nd 0.8750 0.3750 0.3750
Zr2 Zr 0.2500 0.2500 0.2500
Nd3 Nd 0.3750 0.3750 0.3750
Nd4 Nd 0.3750 0.3750 0.8750


# 3
# UCoNi, relaxed, DFT GGA-PBE
# polymorph energy (0 for the lowest one) = 0.0 meV per atom
# formation energy = 0.221 eV/atom
# magnetization = 0.09 μB per cell
data_UCoNi
_chemical_formula_sum 'U1 Co1 Ni1'
_cell_length_a 4.1174
_cell_length_b 4.1174
_cell_length_c 4.1174
_cell_angle_alpha 60.00
_cell_angle_beta 60.00
_cell_angle_gamma 60.00
_symmetry_space_group_name_H-M 'P 1'
_symmetry_Int_Tables_number 1
loop_
_symmetry_equiv_pos_as_xyz
'x,y,z'
loop_
_atom_site_label
_atom_site_type_symbol
_atom_site_fract_x
_atom_site_fract_y
_atom_site_fract_z
U1 U 0.7500 0.7500 0.7500
Ni1 Ni 0.2500 0.2500 0.2500
Co1 Co 0.0000 0.0000 0.0000


# 4
# La3Si2Pd2N3, relaxed, DFT GGA-PBE
# magnetization = 0.04 μB per cell
# VASP energy = -7.279 eV per atom
data_La3Si2Pd2N3
_chemical_formula_sum 'La3 Si2 Pd2 N3'
_cell_length_a 11.5904
_cell_length_b 11.5904
_cell_length_c 11.5904
_cell_angle_alpha 160.60
_cell_angle_beta 160.60
_cell_angle_gamma 27.58
_symmetry_space_group_name_H-M 'P 1'
_symmetry_Int_Tables_number 1
loop_
_symmetry_equiv_pos_as_xyz
'x,y,z'
loop_
_atom_site_label
_atom_site_type_symbol
_atom_site_fract_x
_atom_site_fract_y
_atom_site_fract_z
La1 La 0.0000 0.0000 0.0000
Si1 Si 0.8139 0.8139 0.0000
Si2 Si 0.1861 0.1861 0.0000
N1 N 0.8913 0.8913 0.0000
La2 La 0.6130 0.6130 0.0000
N2 N 0.5000 0.5000 0.0000
La3 La 0.3870 0.3870 0.0000
N3 N 0.1087 0.1087 0.0000
Pd1 Pd 0.7500 0.2500 0.5000
Pd2 Pd 0.2500 0.7500 0.5000


# 5
# Nb4Co2ReSe12, relaxed, DFT GGA-PBE
# magnetization = 1.17 μB per cell
# VASP energy = -6.348 eV per atom
data_Nb4Co2ReSe12
_chemical_formula_sum 'Nb4 Co2 Re1 Se12'
_cell_length_a 7.0733
_cell_length_b 7.0733
_cell_length_c 19.3234
_cell_angle_alpha 109.74
_cell_angle_beta 109.74
_cell_angle_gamma 27.70
_symmetry_space_group_name_H-M 'P 1'
_symmetry_Int_Tables_number 1
loop_
_symmetry_equiv_pos_as_xyz
'x,y,z'
loop_
_atom_site_label
_atom_site_type_symbol
_atom_site_fract_x
_atom_site_fract_y
_atom_site_fract_z
Nb1 Nb 0.3842 0.3842 0.8565
Se1 Se 0.6263 0.6263 0.6096
Se2 Se 0.3999 0.3999 0.7225
Se3 Se 0.8702 0.8702 0.5491
Se4 Se 0.1298 0.1298 0.4509
Se5 Se 0.8040 0.8040 0.2334
Se6 Se 0.3737 0.3737 0.3904
Se7 Se 0.0394 0.0394 0.8844
Co1 Co 0.7739 0.7739 0.7181
Re1 Re 0.0000 0.0000 0.0000
Co2 Co 0.2261 0.2261 0.2819
Se8 Se 0.8105 0.8105 0.9301
Nb2 Nb 0.7418 0.7418 0.4060
Se9 Se 0.9606 0.9606 0.1156
Nb3 Nb 0.6158 0.6158 0.1435
Nb4 Nb 0.2582 0.2582 0.5940
Se10 Se 0.1895 0.1895 0.0699
Se11 Se 0.6001 0.6001 0.2775
Se12 Se 0.1960 0.1960 0.7666


# 6
# Pd2Se3, relaxed, DFT GGA-PBE
# VASP energy = -4.466 eV per atom
data_Pd2Se3
_chemical_formula_sum 'Pd4 Se6'
_cell_length_a 7.2558
_cell_length_b 7.2558
_cell_length_c 5.9295
_cell_angle_alpha 90.00
_cell_angle_beta 90.00
_cell_angle_gamma 130.10
_symmetry_space_group_name_H-M 'P 1'
_symmetry_Int_Tables_number 1
loop_
_symmetry_equiv_pos_as_xyz
'x,y,z'
loop_
_atom_site_label
_atom_site_type_symbol
_atom_site_fract_x
_atom_site_fract_y
_atom_site_fract_z
Se1 Se 0.9075 0.7014 0.7500
Se2 Se 0.3544 0.6456 0.7500
Pd1 Pd 0.0000 0.5000 0.5000
Se3 Se 0.0925 0.2986 0.2500
Pd2 Pd 0.5000 0.0000 0.0000
Pd3 Pd 0.5000 0.0000 0.5000
Se4 Se 0.6456 0.3544 0.2500
Se5 Se 0.2986 0.0925 0.7500
Pd4 Pd 0.0000 0.5000 0.0000
Se6 Se 0.7014 0.9075 0.2500